5
Lattice="4.106 0.000 0.000 0.000 4.106 0.000 0.000 0.000 4.106" Properties=species:S:1:pos:R:3 comment="CoIr3O, optimized geometry, DFT PBE+U" rho_g_cm3=15.63 energy_ev_per_atom=-6.44 relative_energy_ev_per_atom=0.0000 spacegroup="No. 221" pbc="T T T"
Co 2.053 2.053 2.053
Ir 0.000 0.000 2.053
Ir 0.000 2.053 0.000
Ir 2.053 0.000 0.000
O 0.000 0.000 0.000